Material: ReHgO3
Method: DFT, PBE
State: optimized geometry

Lattice parameters (Å, degrees): 5.5421 5.5421 5.5421 60.31 60.31 60.31
With the nearest neighbours (Å) after each atom.
Positions (direct):
Re: 0.0000 0.0000 0.0000  6 O 1.96
Re: 0.5000 0.5000 0.5000  6 O 1.96
Hg: 0.2500 0.2500 0.2500  12 O 2.75-2.81
Hg: 0.7500 0.7500 0.7500  12 O 2.75-2.81
O: 0.2446 0.7500 0.2554  2 Re 1.96
O: 0.2500 0.7446 0.7554  2 Re 1.96
O: 0.2554 0.2446 0.7500  2 Re 1.96
O: 0.7446 0.7554 0.2500  2 Re 1.96
O: 0.7500 0.2554 0.2446  2 Re 1.96
O: 0.7554 0.2500 0.7446  2 Re 1.96

Calculated values
Calculated volume, Å³/cell: 121.2
Total DFT energy (no corrections), eV/atom: -6.345
Space-group type: No. 167



Material: LiBeSnAu
Method: DFT, PBE
State: optimized geometry

Lattice parameters (Å, degrees): 6.3856 6.3856 6.3856 90.00 90.00 90.00
With the nearest neighbours (Å) after each atom.
Positions (direct):
Li: 0.0000 0.0000 0.0000  4 Sn 2.77, 4 Be 2.77
Li: 0.0000 0.5000 0.5000  4 Sn 2.77, 4 Be 2.77
Li: 0.5000 0.0000 0.5000  4 Sn 2.77, 4 Be 2.77
Li: 0.5000 0.5000 0.0000  4 Sn 2.77, 4 Be 2.77
Be: 0.2500 0.2500 0.7500  4 Li 2.77, 4 Au 2.77
Be: 0.2500 0.7500 0.2500  4 Li 2.77, 4 Au 2.77
Be: 0.7500 0.2500 0.2500  4 Li 2.77, 4 Au 2.77
Be: 0.7500 0.7500 0.7500  4 Li 2.77, 4 Au 2.77
Sn: 0.2500 0.2500 0.2500  4 Li 2.77, 4 Au 2.77
Sn: 0.2500 0.7500 0.7500  4 Li 2.77, 4 Au 2.77
Sn: 0.7500 0.2500 0.7500  4 Li 2.77, 4 Au 2.77
Sn: 0.7500 0.7500 0.2500  4 Li 2.77, 4 Au 2.77
Au: 0.0000 0.0000 0.5000  4 Sn 2.77, 4 Be 2.77
Au: 0.0000 0.5000 0.0000  4 Sn 2.77, 4 Be 2.77
Au: 0.5000 0.0000 0.0000  4 Sn 2.77, 4 Be 2.77
Au: 0.5000 0.5000 0.5000  4 Sn 2.77, 4 Be 2.77

Calculated values
Calculated volume, Å³/cell: 260.4
Energy relative to the lowest polymorph listed for this composition, meV/atom: 85
Total DFT energy (no corrections), eV/atom: -3.246
Space-group type: No. 216



Material: SrCoTeAu
Method: DFT, PBE
State: optimized geometry

Lattice parameters (Å, degrees): 7.2253 7.2253 7.2253 90.00 90.00 90.00
With the nearest neighbours (Å) after each atom.
Positions (direct):
Sr: 0.0000 0.0000 0.0000  4 Au 3.13, 4 Te 3.13
Sr: 0.0000 0.5000 0.5000  4 Te 3.13, 4 Au 3.13
Sr: 0.5000 0.0000 0.5000  4 Te 3.13, 4 Au 3.13
Sr: 0.5000 0.5000 0.0000  4 Te 3.13, 4 Au 3.13
Co: 0.0000 0.0000 0.5000  4 Te 3.13, 4 Au 3.13
Co: 0.0000 0.5000 0.0000  4 Te 3.13, 4 Au 3.13
Co: 0.5000 0.0000 0.0000  4 Te 3.13, 4 Au 3.13
Co: 0.5000 0.5000 0.5000  4 Te 3.13, 4 Au 3.13
Te: 0.2500 0.2500 0.7500  4 Co 3.13, 4 Sr 3.13
Te: 0.2500 0.7500 0.2500  4 Co 3.13, 4 Sr 3.13
Te: 0.7500 0.2500 0.2500  4 Co 3.13, 4 Sr 3.13
Te: 0.7500 0.7500 0.7500  4 Co 3.13, 4 Sr 3.13
Au: 0.2500 0.2500 0.2500  4 Co 3.13, 4 Sr 3.13
Au: 0.2500 0.7500 0.7500  4 Co 3.13, 4 Sr 3.13
Au: 0.7500 0.2500 0.7500  4 Co 3.13, 4 Sr 3.13
Au: 0.7500 0.7500 0.2500  4 Co 3.13, 4 Sr 3.13

Calculated values
Calculated volume, Å³/cell: 377.2
Energy relative to the lowest polymorph listed for this composition, meV/atom: 0
Total DFT energy (no corrections), eV/atom: -3.865
Space-group type: No. 216



Material: KNiTeAuS2
Method: DFT, PBE
State: optimized geometry

Lattice parameters (Å, degrees): 8.5707 8.5707 10.3093 90.00 90.00 156.81
With the nearest neighbours (Å) after each atom.
Positions (direct):
K: 0.2335 0.7665 0.7500  2 Au 3.24, 2 Te 3.42, 2 K 3.45
K: 0.7665 0.2335 0.2500  2 Au 3.24, 2 Te 3.42, 2 K 3.45
Ni: 0.5000 0.5000 0.0000  4 S 2.31
Ni: 0.5000 0.5000 0.5000  4 S 2.31
Te: 0.4423 0.5577 0.2500  2 Ni 2.75
Te: 0.5577 0.4423 0.7500  2 Ni 2.75
Au: 0.1033 0.8967 0.2500  2 S 2.35
Au: 0.8967 0.1033 0.7500  2 S 2.35
S: 0.0909 0.9091 0.0233  2 Ni 2.31, 1 Au 2.35
S: 0.0909 0.9091 0.4767  2 Ni 2.31, 1 Au 2.35
S: 0.9091 0.0909 0.5233  2 Ni 2.31, 1 Au 2.35
S: 0.9091 0.0909 0.9767  2 Ni 2.31, 1 Au 2.35

Calculated values
Calculated volume, Å³/cell: 298.2
Total DFT energy (no corrections), eV/atom: -3.861
Space-group type: No. 63